Record 1
DFT (GGA-PBE) results for a relaxed Sc2AgPd2 crystal.

Calculated values
- Energy above the lowest structure with this stoichiometry: 66.0 meV per atom
- ΔH_f (0 K): -3.2 eV per formula unit
- SG: C2/c (15)
- Uncorrected energy: -5.812 eV per atom

a b c (Å): 5.2174 7.7042 10.9011
angles (deg): 151.03 103.85 90.00
Atoms (fractional coordinates):
Sc  0.0024  0.9715  0.3222
Sc  0.3198  0.4715  0.3222
Sc  0.9976  0.0285  0.6778
Sc  0.6802  0.5285  0.6778
Ag  0.2265  0.7500  0.0000
Ag  0.7735  0.2500  0.0000
Pd  0.5218  0.2704  0.7544
Pd  0.7673  0.2296  0.2456
Pd  0.4782  0.7296  0.2456
Pd  0.2327  0.7704  0.7544

Record 2
DFT (GGA-PBE) results for a relaxed CeNd7Tl5 crystal.

Calculated values
- ΔH_f (0 K): -2.1 eV per formula unit
- SG: Imm2 (44)
- Uncorrected energy: -4.096 eV per atom

a b c (Å): 6.8131 8.5313 8.5313
angles (deg): 79.04 66.47 66.47
Last column: magnetic moment on the atom in μB.
Atoms (fractional coordinates):
Ce  0.9615  0.0385  0.0385  1.04
Nd  0.6302  0.3698  0.3698  0.01
Nd  0.3018  0.6982  0.6982  0.02
Nd  0.0021  0.3319  0.6639  0.01
Nd  0.0021  0.6639  0.3319  0.01
Nd  0.2729  0.2271  0.2271  -0.01
Nd  0.5174  0.7956  0.1695  0.01
Nd  0.5174  0.1695  0.7956  0.01
Tl  0.5177  0.9987  0.4786  -0.01
Tl  0.0050  0.9987  0.4786  -0.01
Tl  0.5177  0.4786  0.9987  -0.01
Tl  0.0050  0.4786  0.9987  -0.01
Tl  0.7491  0.7509  0.7509  -0.01